{"formula": "LaNd4Ho3S8", "functional": "PBE", "state": "relaxed", "cell": [[4.001, 2.310, 6.601], [-4.001, 2.310, 6.601], [0.000, -4.620, 6.601]], "species": ["La", "Nd", "Nd", "Nd", "Nd", "Ho", "Ho", "Ho", "S", "S", "S", "S", "S", "S", "S", "S"], "frac_coords": [[0.000, 0.000, 0.000], [0.000, 0.000, 0.500], [0.000, 0.500, 0.000], [0.500, 0.000, 0.000], [0.500, 0.500, 0.500], [0.000, 0.500, 0.500], [0.500, 0.000, 0.500], [0.500, 0.500, 0.000], [0.251, 0.251, 0.736], [0.251, 0.736, 0.251], [0.256, 0.256, 0.256], [0.264, 0.749, 0.749], [0.736, 0.251, 0.251], [0.744, 0.744, 0.744], [0.749, 0.264, 0.749], [0.749, 0.749, 0.264]], "formation_energy_uncorrected_mev_per_atom": -2017, "mass_density_g_cm3": 6.65, "final_energy_ev_per_atom": -6.439, "m_tot_mub_per_fu": 0.00}